A plane-wave DFT calculation with PBE was carried out for a relaxed Fe3IrRh5 crystal.

DOS(E_F) in states/eV per atom: 1.503
ΔE_f in eV per atom: 0.371
E in eV/atom: -7.5183
Symmetry: No. 127
Total moment in μB per formula unit: 6.6

Unit cell a=5.796 b=5.796 c=7.592 alpha=90.00 beta=90.00 gamma=90.00
Element x y z (fractional)
Fe 0.000 0.000 0.000
Fe 0.117 0.383 0.500
Fe 0.383 0.883 0.500
Fe 0.500 0.500 0.000
Fe 0.617 0.117 0.500
Fe 0.883 0.617 0.500
Ir 0.000 0.500 0.000
Ir 0.500 0.000 0.000
Rh 0.000 0.000 0.500
Rh 0.243 0.743 0.224
Rh 0.243 0.743 0.776
Rh 0.257 0.243 0.224
Rh 0.257 0.243 0.776
Rh 0.500 0.500 0.500
Rh 0.743 0.757 0.224
Rh 0.743 0.757 0.776
Rh 0.757 0.257 0.224
Rh 0.757 0.257 0.776



A plane-wave DFT calculation with PBE was carried out for a relaxed ZrOsPb crystal.

DOS(E_F) in states/eV per atom: 0.372
E above lowest polymorph in eV/atom: 0.0000
ΔE_f in eV per atom: 0.090
E in eV/atom: -7.7392
Symmetry: No. 107
Total moment in μB per formula unit: 0.0

Unit cell a=3.253 b=3.253 c=11.882 alpha=90.00 beta=90.00 gamma=90.00
Element x y z (fractional)
Zr 0.000 0.000 0.000
Zr 0.500 0.500 0.500
Os 0.000 0.000 0.373
Os 0.500 0.500 0.873
Pb 0.000 0.000 0.708
Pb 0.500 0.500 0.208



A plane-wave DFT calculation with PBE was carried out for a relaxed TmNiRuPb crystal.

DOS(E_F) in states/eV per atom: 1.008
ΔE_f in eV per atom: -0.141
E in eV/atom: -5.9506
Symmetry: No. 216
Total moment in μB per formula unit: 0.0

Unit cell a=6.614 b=6.614 c=6.614 alpha=90.00 beta=90.00 gamma=90.00
Element x y z (fractional)
Tm 0.000 0.000 0.000
Tm 0.000 0.500 0.500
Tm 0.500 0.000 0.500
Tm 0.500 0.500 0.000
Ni 0.250 0.250 0.750
Ni 0.250 0.750 0.250
Ni 0.750 0.250 0.250
Ni 0.750 0.750 0.750
Ru 0.250 0.250 0.250
Ru 0.250 0.750 0.750
Ru 0.750 0.250 0.750
Ru 0.750 0.750 0.250
Pb 0.000 0.000 0.500
Pb 0.000 0.500 0.000
Pb 0.500 0.000 0.000
Pb 0.500 0.500 0.500



A plane-wave DFT calculation with PBE was carried out for a relaxed CrPb2S4 crystal.

E_form (uncorrected) in kJ/mol of atoms: -32.7
DOS(E_F) in states/eV per atom: 0.618
E in eV/atom: -5.1318
Symmetry: No. 139
Total moment in μB per formula unit: 2.1

Unit cell a=4.532 b=4.532 c=15.211 alpha=90.00 beta=90.00 gamma=90.00
Element x y z (fractional)
Cr 0.000 0.000 0.000
Cr 0.500 0.500 0.500
Pb 0.000 0.000 0.352
Pb 0.000 0.000 0.648
Pb 0.500 0.500 0.148
Pb 0.500 0.500 0.852
S 0.000 0.000 0.163
S 0.000 0.000 0.837
S 0.000 0.500 0.000
S 0.000 0.500 0.500
S 0.500 0.000 0.000
S 0.500 0.000 0.500
S 0.500 0.500 0.337
S 0.500 0.500 0.663



A plane-wave DFT calculation with PBE was carried out for a relaxed TbInAgSn crystal.

DOS(E_F) in states/eV per atom: 0.900
E above lowest polymorph in eV/atom: 0.2131
ΔE_f in eV per atom: -0.209
E in eV/atom: -3.7651
Symmetry: No. 216
Total moment in μB per formula unit: 0.0

Unit cell a=7.322 b=7.322 c=7.322 alpha=90.00 beta=90.00 gamma=90.00
Element x y z (fractional)
Tb 0.000 0.000 0.000
Tb 0.000 0.500 0.500
Tb 0.500 0.000 0.500
Tb 0.500 0.500 0.000
In 0.000 0.000 0.500
In 0.000 0.500 0.000
In 0.500 0.000 0.000
In 0.500 0.500 0.500
Ag 0.250 0.250 0.250
Ag 0.250 0.750 0.750
Ag 0.750 0.250 0.750
Ag 0.750 0.750 0.250
Sn 0.250 0.250 0.750
Sn 0.250 0.750 0.250
Sn 0.750 0.250 0.250
Sn 0.750 0.750 0.750



A plane-wave DFT calculation with PBE was carried out for a relaxed Ca2YSc crystal.

DOS(E_F) in states/eV per atom: 1.770
E above lowest polymorph in eV/atom: 0.1170
ΔE_f in eV per atom: 0.206
E in eV/atom: -3.9936
Symmetry: No. 65
Total moment in μB per formula unit: 0.1

Unit cell a=3.907 b=5.745 c=11.905 alpha=90.00 beta=90.00 gamma=90.00
Element x y z (fractional)
Ca 0.000 0.000 0.240
Ca 0.000 0.000 0.760
Ca 0.500 0.500 0.240
Ca 0.500 0.500 0.760
Y 0.000 0.500 0.500
Y 0.500 0.000 0.500
Sc 0.000 0.500 0.000
Sc 0.500 0.000 0.000



A plane-wave DFT calculation with PBE was carried out for a relaxed MoIr4Os crystal.

DOS(E_F) in states/eV per atom: 0.769
E above lowest polymorph in eV/atom: 0.3746
ΔE_f in eV per atom: 0.396
E in eV/atom: -9.1877
Symmetry: No. 12
Total moment in μB per formula unit: 0.0

Unit cell a=7.774 b=4.120 c=7.404 alpha=90.00 beta=118.92 gamma=90.00
Element x y z (fractional)
Mo 0.000 0.000 0.000
Mo 0.500 0.500 0.000
Ir 0.235 0.500 0.614
Ir 0.239 0.500 0.121
Ir 0.261 0.000 0.879
Ir 0.265 0.000 0.386
Ir 0.735 0.000 0.614
Ir 0.739 0.000 0.121
Ir 0.761 0.500 0.879
Ir 0.765 0.500 0.386
Os 0.000 0.000 0.500
Os 0.500 0.500 0.500



A plane-wave DFT calculation with PBE was carried out for a relaxed Li8Ge2As crystal.

DOS(E_F) in states/eV per atom: 0.460
ΔE_f in eV per atom: -0.388
E in eV/atom: -3.0417
Symmetry: No. 12
Total moment in μB per formula unit: 0.0

Unit cell a=7.608 b=7.608 c=6.116 alpha=113.45 beta=113.45 gamma=33.19
Element x y z (fractional)
Li 0.001 0.001 0.232
Li 0.174 0.174 0.676
Li 0.352 0.352 0.616
Li 0.354 0.354 0.087
Li 0.646 0.646 0.913
Li 0.648 0.648 0.384
Li 0.826 0.826 0.324
Li 0.999 0.999 0.768
Ge 0.188 0.188 0.186
Ge 0.812 0.812 0.814
As 0.500 0.500 0.500



A plane-wave DFT calculation with PBE was carried out for a relaxed CsNdMn2Cl8 crystal.

E_form (uncorrected) in kJ/mol of atoms: -155.9
DOS(E_F) in states/eV per atom: 0.000
E in eV/atom: -4.8431
Symmetry: No. 155
Total moment in μB per formula unit: 10.0

Unit cell a=11.452 b=11.452 c=11.452 alpha=33.30 beta=33.30 gamma=33.30
Element x y z (fractional)
Cs 0.000 0.000 0.000
Nd 0.500 0.500 0.500
Mn 0.246 0.246 0.246
Mn 0.754 0.754 0.754
Cl 0.124 0.440 0.773
Cl 0.227 0.560 0.876
Cl 0.316 0.316 0.316
Cl 0.440 0.773 0.124
Cl 0.560 0.876 0.227
Cl 0.684 0.684 0.684
Cl 0.773 0.124 0.440
Cl 0.876 0.227 0.560



A plane-wave DFT calculation with PBE was carried out for a relaxed ScAl3ZnCu crystal.

DOS(E_F) in states/eV per atom: 0.523
ΔE_f in eV per atom: -0.036
E in eV/atom: -3.8580
Symmetry: No. 63
Total moment in μB per formula unit: 0.0

Unit cell a=6.841 b=6.841 c=5.535 alpha=90.00 beta=90.00 gamma=124.92
Element x y z (fractional)
Sc 0.195 0.805 0.750
Sc 0.805 0.195 0.250
Al 0.202 0.202 0.000
Al 0.202 0.202 0.500
Al 0.353 0.647 0.250
Al 0.647 0.353 0.750
Al 0.798 0.798 0.000
Al 0.798 0.798 0.500
Zn 0.411 0.589 0.750
Zn 0.589 0.411 0.250
Cu 0.147 0.853 0.250
Cu 0.853 0.147 0.750



A plane-wave DFT calculation with PBE was carried out for a relaxed LiMnBe2Fe crystal.

DOS(E_F) in states/eV per atom: 1.014
ΔE_f in eV per atom: 1.059
E in eV/atom: -4.3405
Symmetry: No. 123
Total moment in μB per formula unit: 1.9

Unit cell a=3.714 b=3.714 c=3.885 alpha=90.00 beta=90.00 gamma=90.00
Element x y z (fractional)
Li 0.000 0.000 0.000
Mn 0.000 0.000 0.500
Be 0.000 0.500 0.000
Be 0.500 0.000 0.000
Fe 0.500 0.500 0.500



A plane-wave DFT calculation with PBE was carried out for a relaxed TaCo2Au crystal.

DOS(E_F) in states/eV per atom: 1.704
E above lowest polymorph in eV/atom: 0.3100
ΔE_f in eV per atom: 0.211
E in eV/atom: -7.1240
Symmetry: No. 216
Total moment in μB per formula unit: 2.7

Unit cell a=6.165 b=6.165 c=6.165 alpha=90.00 beta=90.00 gamma=90.00
Element x y z (fractional)
Ta 0.000 0.000 0.000
Ta 0.000 0.500 0.500
Ta 0.500 0.000 0.500
Ta 0.500 0.500 0.000
Co 0.000 0.000 0.500
Co 0.000 0.500 0.000
Co 0.250 0.250 0.250
Co 0.250 0.750 0.750
Co 0.500 0.000 0.000
Co 0.500 0.500 0.500
Co 0.750 0.250 0.750
Co 0.750 0.750 0.250
Au 0.250 0.250 0.750
Au 0.250 0.750 0.250
Au 0.750 0.250 0.250
Au 0.750 0.750 0.750



A plane-wave DFT calculation with PBE was carried out for a relaxed Hg3BiSb2Pb6 crystal.

E_form (uncorrected) in kJ/mol of atoms: 4.9
DOS(E_F) in states/eV per atom: 0.463
E in eV/atom: -2.8898
Symmetry: No. 12
Total moment in μB per formula unit: 0.0

Unit cell a=7.678 b=7.678 c=8.088 alpha=99.15 beta=99.15 gamma=119.92
Element x y z (fractional)
Hg 0.000 0.000 0.000
Hg 0.339 0.661 0.000
Hg 0.661 0.339 0.000
Bi 0.500 0.500 0.500
Sb 0.169 0.831 0.500
Sb 0.831 0.169 0.500
Pb 0.075 0.415 0.255
Pb 0.236 0.236 0.740
Pb 0.415 0.075 0.255
Pb 0.585 0.925 0.745
Pb 0.764 0.764 0.260
Pb 0.925 0.585 0.745



A plane-wave DFT calculation with PBE was carried out for a relaxed CsSrZn2I crystal.

E_form (uncorrected) in kJ/mol of atoms: 6.7
DOS(E_F) in states/eV per atom: 0.769
E in eV/atom: -1.2569
Symmetry: No. 123
Total moment in μB per formula unit: 0.0

Unit cell a=6.161 b=6.161 c=11.494 alpha=90.00 beta=90.00 gamma=90.00
Element x y z (fractional)
Cs 0.000 0.000 0.000
Sr 0.000 0.000 0.500
Zn 0.000 0.500 0.500
Zn 0.500 0.000 0.500
I 0.500 0.500 0.000



A plane-wave DFT calculation with PBE was carried out for a relaxed Sr2Mg5In5 crystal.

DOS(E_F) in states/eV per atom: 0.540
ΔE_f in eV per atom: -0.195
E in eV/atom: -2.2811
Symmetry: No. 47
Total moment in μB per formula unit: 0.0

Unit cell a=4.852 b=6.257 c=11.024 alpha=90.00 beta=90.00 gamma=90.00
Element x y z (fractional)
Sr 0.000 0.000 0.000
Sr 0.000 0.500 0.500
Mg 0.500 0.000 0.500
Mg 0.500 0.249 0.250
Mg 0.500 0.249 0.750
Mg 0.500 0.751 0.250
Mg 0.500 0.751 0.750
In 0.000 0.000 0.333
In 0.000 0.000 0.667
In 0.000 0.500 0.179
In 0.000 0.500 0.821
In 0.500 0.500 0.000



A plane-wave DFT calculation with PBE was carried out for a relaxed Sc2TaGaN crystal.

E_form (uncorrected) in kJ/mol of atoms: -83.7
DOS(E_F) in states/eV per atom: 0.527
E in eV/atom: -8.0415
Symmetry: No. 123
Total moment in μB per formula unit: 0.0

Unit cell a=4.440 b=4.440 c=4.146 alpha=90.00 beta=90.00 gamma=90.00
Element x y z (fractional)
Sc 0.000 0.500 0.000
Sc 0.500 0.000 0.000
Ta 0.000 0.000 0.500
Ga 0.500 0.500 0.500
N 0.000 0.000 0.000



A plane-wave DFT calculation with PBE was carried out for a relaxed Ba2LaRe2N6 crystal.

E_form (uncorrected) in kJ/mol of atoms: -71.3
DOS(E_F) in states/eV per atom: 0.350
E in eV/atom: -8.3413
Symmetry: No. 12
Total moment in μB per formula unit: 0.0

Unit cell a=6.358 b=6.358 c=7.441 alpha=118.83 beta=118.83 gamma=59.06
Element x y z (fractional)
Ba 0.213 0.213 0.186
Ba 0.787 0.787 0.814
La 0.000 0.000 0.500
Re 0.468 0.468 0.804
Re 0.532 0.532 0.196
N 0.207 0.681 0.215
N 0.273 0.273 0.637
N 0.319 0.793 0.785
N 0.681 0.207 0.215
N 0.727 0.727 0.363
N 0.793 0.319 0.785



A plane-wave DFT calculation with PBE was carried out for a relaxed Li5Te crystal.

E_form (uncorrected) in kJ/mol of atoms: -44.9
DOS(E_F) in states/eV per atom: 0.338
E above lowest polymorph in eV/atom: 0.0000
E in eV/atom: -2.5833
Symmetry: No. 65
Total moment in μB per formula unit: 0.0

Unit cell a=4.233 b=12.873 c=4.175 alpha=90.00 beta=90.00 gamma=90.00
Element x y z (fractional)
Li 0.000 0.000 0.000
Li 0.000 0.157 0.500
Li 0.000 0.335 0.000
Li 0.000 0.665 0.000
Li 0.000 0.843 0.500
Li 0.500 0.165 0.000
Li 0.500 0.343 0.500
Li 0.500 0.500 0.000
Li 0.500 0.657 0.500
Li 0.500 0.835 0.000
Te 0.000 0.500 0.500
Te 0.500 0.000 0.500



A plane-wave DFT calculation with PBE was carried out for a relaxed La8ZnRu3I4 crystal.

E_form (uncorrected) in kJ/mol of atoms: -74.6
DOS(E_F) in states/eV per atom: 0.412
E in eV/atom: -5.4431
Symmetry: No. 166
Total moment in μB per formula unit: 0.0

Unit cell a=9.624 b=9.624 c=9.624 alpha=52.68 beta=52.68 gamma=52.68
Element x y z (fractional)
La 0.209 0.738 0.738
La 0.230 0.230 0.230
La 0.262 0.262 0.791
La 0.262 0.791 0.262
La 0.738 0.209 0.738
La 0.738 0.738 0.209
La 0.770 0.770 0.770
La 0.791 0.262 0.262
Zn 0.500 0.500 0.500
Ru 0.000 0.000 0.500
Ru 0.000 0.500 0.000
Ru 0.500 0.000 0.000
I 0.000 0.000 0.000
I 0.000 0.500 0.500
I 0.500 0.000 0.500
I 0.500 0.500 0.000



A plane-wave DFT calculation with PBE was carried out for a relaxed RbSb3Pt crystal.

E_form (uncorrected) in kJ/mol of atoms: 195.3
DOS(E_F) in states/eV per atom: 1.907
E above lowest polymorph in eV/atom: 2.3411
E in eV/atom: -1.8514
Symmetry: No. 221
Total moment in μB per formula unit: 0.0

Unit cell a=5.840 b=5.840 c=5.840 alpha=90.00 beta=90.00 gamma=90.00
Element x y z (fractional)
Rb 0.000 0.000 0.000
Sb 0.000 0.000 0.500
Sb 0.000 0.500 0.000
Sb 0.500 0.000 0.000
Pt 0.500 0.500 0.500



A plane-wave DFT calculation with PBE was carried out for a relaxed TbDy2Ho3Se6 crystal.

E_form (uncorrected) in kJ/mol of atoms: -168.0
DOS(E_F) in states/eV per atom: 0.456
E in eV/atom: -5.7804
Symmetry: No. 12
Total moment in μB per formula unit: 0.0

Unit cell a=7.048 b=7.048 c=7.065 alpha=99.53 beta=99.53 gamma=120.37
Element x y z (fractional)
Tb 0.000 0.000 0.000
Dy 0.334 0.666 0.000
Dy 0.666 0.334 0.000
Ho 0.166 0.834 0.500
Ho 0.500 0.500 0.500
Ho 0.834 0.166 0.500
Se 0.084 0.419 0.253
Se 0.250 0.250 0.748
Se 0.419 0.084 0.253
Se 0.581 0.916 0.747
Se 0.750 0.750 0.252
Se 0.916 0.581 0.747